1.
# Pu3FePb

An optimized crystal structure of Pu3FePb (PBE-GGA, the Alexandria database).

**Total magnetic moment**: 3.05 μB/atom
**Energy relative to the elements**: -0.010 eV per atom

Cell lengths 5.034, 5.034, 5.034 Å; angles 90.00, 90.00, 90.00 degrees
Site moments in Bohr magnetons follow the coordinates.
Sites, in units of the cell vectors:
Pb: 0.500 0.500 0.500  -0.15
Fe: 0.000 0.000 0.000  -1.00
Pu: 0.000 0.500 0.000  5.24
Pu: 0.000 0.000 0.500  5.24
Pu: 0.500 0.000 0.000  5.24

=====

2.
# RbFe2Pb

An optimized crystal structure of RbFe2Pb (PBE-GGA, the Alexandria database).

**Total magnetic moment**: 1.31 μB/atom
**Energy relative to the elements**: 0.909 eV per atom

Cell lengths 5.026, 5.026, 10.146 Å; angles 75.66, 75.66, 90.00 degrees
Site moments in Bohr magnetons follow the coordinates.
Sites, in units of the cell vectors:
Pb: 0.000 0.000 0.000  -0.14
Pb: 0.750 0.250 0.500  -0.14
Fe: 0.875 0.125 0.250  2.73
Fe: 0.875 0.625 0.250  2.75
Fe: 0.375 0.125 0.750  2.71
Fe: 0.875 0.125 0.750  2.73
Rb: 0.500 0.500 0.000  -0.02
Rb: 0.250 0.750 0.500  -0.02

=====

3.
# RbYFePb2

An optimized crystal structure of RbYFePb2 (PBE-GGA, the Alexandria database).

**Total magnetic moment**: 0.44 μB/atom
**Energy relative to the elements**: 0.568 eV per atom

Cell lengths 5.301, 5.410, 5.301 Å; angles 90.00, 90.00, 90.00 degrees
Site moments in Bohr magnetons follow the coordinates.
Sites, in units of the cell vectors:
Pb: 0.000 0.000 0.500  -0.03
Pb: 0.500 0.000 0.000  -0.05
Y: 0.500 0.500 0.500  0.00
Fe: 0.000 0.000 0.000  2.29
Rb: 0.000 0.500 0.000  0.00

=====

E_tot in eV/cell, matching the order above: -55.22, -35.93, -20.47
Ρ in Mg/m³, matching the order above: 12.954, 5.594, 7.042